No. 1
First-principles (PBE) data for a geometry-optimized KSi structure, as listed in Alexandria via LeMat-Bulk.

## Properties
energy above the lowest structure with this stoichiometry: 1332 meV per atom
ΔE_f (raw): 1.2591 eV/atom

Cell lengths 8.035, 8.035, 8.035 Å; angles 90.00, 90.00, 90.00 degrees
Atoms (fractional coordinates):
K  0.000  0.000  0.000
K  0.000  0.500  0.500
K  0.500  0.000  0.500
K  0.500  0.500  0.000
Si  0.250  0.250  0.250
Si  0.250  0.750  0.750
Si  0.750  0.250  0.750
Si  0.750  0.750  0.250



No. 2
First-principles (PBE) data for a geometry-optimized K2TlAg structure, as listed in Alexandria via LeMat-Bulk.

## Properties
energy of formation from the pure elements: -0.0215 eV/atom
energy above the lowest structure with this stoichiometry: 9 meV per atom

Cell lengths 4.944, 5.052, 6.835 Å; angles 90.00, 110.99, 90.00 degrees
Atoms (fractional coordinates):
K  0.000  0.000  0.000
K  0.296  0.500  0.597
Tl  0.592  0.500  0.185
Ag  0.702  0.000  0.407



No. 3
First-principles (PBE) data for a geometry-optimized VGa2Ge structure, as listed in Alexandria via LeMat-Bulk.

## Properties
energy of formation from the pure elements: 0.2909 eV/atom

Cell lengths 7.368, 7.368, 5.192 Å; angles 90.00, 90.00, 90.00 degrees
Atoms (fractional coordinates):
V  0.000  0.000  0.000
V  0.000  0.500  0.250
V  0.500  0.000  0.750
V  0.500  0.500  0.500
Ga  0.241  0.750  0.625
Ga  0.250  0.241  0.375
Ga  0.250  0.259  0.875
Ga  0.259  0.750  0.125
Ga  0.741  0.250  0.125
Ga  0.750  0.741  0.875
Ga  0.750  0.759  0.375
Ga  0.759  0.250  0.625
Ge  0.000  0.000  0.500
Ge  0.000  0.500  0.750
Ge  0.500  0.000  0.250
Ge  0.500  0.500  0.000



Number 1: total magnetic moment 12.00 μB/cell. Number 2: total magnetic moment 0.00 μB/cell. Number 3: total magnetic moment 7.72 μB/cell.